one) {
  "formula": "NiPbSe2N",
  "functional": "GGA-PBE",
  "state": "relaxed",
  "cell": [[5.2387, 0.0000, 0.0000], [0.0000, 5.2387, 0.0000], [0.0000, 0.0000, 3.4957]],
  "species": ["Pb", "Ni", "Se", "Se", "N"],
  "frac_coords": [[0.5000, 0.5000, 0.5000], [0.0000, 0.0000, 0.0000], [0.0000, 0.5000, 0.0000], [0.5000, 0.0000, 0.0000], [0.0000, 0.0000, 0.5000]]
}

---

two) {
  "formula": "NiPbSe2N",
  "functional": "GGA-PBE",
  "state": "relaxed",
  "cell": [[-4.3822, 2.0953, -2.5366], [-0.1979, -4.3850, -3.2803], [-2.5488, -1.9649, 2.7804]],
  "species": ["Pb", "Ni", "Se", "Se", "N"],
  "frac_coords": [[0.0000, 0.0000, 0.0000], [0.5000, 0.5000, 0.5000], [0.0000, 0.5000, 0.0000], [0.5000, 0.0000, 0.0000], [0.0000, 0.0000, 0.5000]]
}

---

Referenced to the most stable arrangement, the calculated values in meV per atom are one) 0; two) 1198.

---

one) {
  "formula": "Ni2PdPtN",
  "functional": "GGA-PBE",
  "state": "relaxed",
  "cell": [[-2.9254, 1.0605, -2.2197], [-0.8395, -3.6722, -0.6481], [-2.5222, -0.0092, 3.3197]],
  "species": ["Ni", "Ni", "Pd", "Pt", "N"],
  "frac_coords": [[0.0000, 0.5000, 0.0000], [0.5000, 0.0000, 0.0000], [0.5000, 0.5000, 0.5000], [0.0000, 0.0000, 0.5000], [0.0000, 0.0000, 0.0000]]
}

---

two) {
  "formula": "Ni2PdPtN",
  "functional": "GGA-PBE",
  "state": "relaxed",
  "cell": [[-1.5740, -1.4765, -3.1339], [-0.3680, -3.3515, 1.7638], [-3.7857, 1.1349, 1.3667]],
  "species": ["Ni", "Ni", "Pd", "Pt", "N"],
  "frac_coords": [[0.0000, 0.5000, 0.0000], [0.5000, 0.0000, 0.0000], [0.0000, 0.0000, 0.5000], [0.5000, 0.5000, 0.5000], [0.0000, 0.0000, 0.0000]]
}

---

Referenced to the most stable arrangement, the calculated values in meV per atom are one) 6; two) 0.

---

one) {
  "formula": "Tc2NiPdN",
  "functional": "GGA-PBE",
  "state": "relaxed",
  "cell": [[4.0051, 0.0000, 0.0000], [0.0000, 4.0051, 0.0000], [0.0000, 0.0000, 3.9185]],
  "species": ["Ni", "Tc", "Tc", "Pd", "N"],
  "frac_coords": [[0.0000, 0.0000, 0.5000], [0.0000, 0.5000, 0.0000], [0.5000, 0.0000, 0.0000], [0.5000, 0.5000, 0.5000], [0.0000, 0.0000, 0.0000]]
}

---

two) {
  "formula": "Tc2NiPdN",
  "functional": "GGA-PBE",
  "state": "relaxed",
  "cell": [[4.4581, 0.0000, 0.0000], [0.0000, 4.5435, 0.0000], [0.0000, 0.0000, 4.4581]],
  "species": ["Ni", "Tc", "Tc", "Pd", "N"],
  "frac_coords": [[0.0000, 0.0000, 0.0000], [0.0000, 0.0000, 0.5000], [0.5000, 0.0000, 0.0000], [0.0000, 0.5000, 0.0000], [0.5000, 0.5000, 0.5000]]
}

---

Referenced to the most stable arrangement, the calculated values in meV per atom are one) 0; two) 2313.

---

one) {
  "formula": "TiNi2PdN",
  "functional": "GGA-PBE",
  "state": "relaxed",
  "cell": [[-0.4602, 4.3698, 0.6769], [-2.2615, 0.2224, -2.9734], [-3.5122, -0.7747, 2.6134]],
  "species": ["Ni", "Ni", "N", "Pd", "Ti"],
  "frac_coords": [[0.0000, 0.0000, 0.5000], [0.5000, 0.0000, 0.0000], [0.0000, 0.5000, 0.0000], [0.5000, 0.5000, 0.5000], [0.0000, 0.0000, 0.0000]]
}

---

two) {
  "formula": "TiNi2PdN",
  "functional": "GGA-PBE",
  "state": "relaxed",
  "cell": [[-3.0707, 1.0567, 2.0288], [-2.2256, -2.1648, -2.2410], [0.5557, -3.1291, 2.4709]],
  "species": ["Ni", "Ni", "N", "Pd", "Ti"],
  "frac_coords": [[0.0000, 0.5000, 0.0000], [0.5000, 0.0000, 0.0000], [0.0000, 0.0000, 0.0000], [0.5000, 0.5000, 0.5000], [0.0000, 0.0000, 0.5000]]
}

---

Referenced to the most stable arrangement, the calculated values in meV per atom are one) 1283; two) 0.

---

one) {
  "formula": "ZnNi2PdN",
  "functional": "GGA-PBE",
  "state": "relaxed",
  "cell": [[-0.2390, -3.7193, -0.1326], [1.9838, -0.2398, 3.1488], [-3.5983, 0.1500, 2.2784]],
  "species": ["Ni", "Ni", "Zn", "Pd", "N"],
  "frac_coords": [[0.0000, 0.5000, 0.0000], [0.5000, 0.0000, 0.0000], [0.5000, 0.5000, 0.5000], [0.0000, 0.0000, 0.5000], [0.0000, 0.0000, 0.0000]]
}

---

two) {
  "formula": "ZnNi2PdN",
  "functional": "GGA-PBE",
  "state": "relaxed",
  "cell": [[-2.0704, 3.0739, 0.3817], [-3.0907, -2.0807, -0.0084], [0.2325, -0.3623, 4.1788]],
  "species": ["Ni", "Ni", "Zn", "Pd", "N"],
  "frac_coords": [[0.0000, 0.5000, 0.0000], [0.5000, 0.0000, 0.0000], [0.0000, 0.0000, 0.5000], [0.5000, 0.5000, 0.5000], [0.0000, 0.0000, 0.0000]]
}

---

Referenced to the most stable arrangement, the calculated values in meV per atom are one) 0; two) 29.

---

one) {
  "formula": "NiPtSN2",
  "functional": "GGA-PBE",
  "state": "relaxed",
  "cell": [[3.6488, 0.0000, 0.0000], [0.0000, 3.6488, 0.0000], [0.0000, 0.0000, 7.8046]],
  "species": ["Ni", "S", "Pt", "N", "N"],
  "frac_coords": [[0.5000, 0.5000, 0.5000], [0.0000, 0.0000, 0.5000], [0.0000, 0.0000, 0.0000], [0.0000, 0.5000, 0.0000], [0.5000, 0.0000, 0.0000]]
}

---

two) {
  "formula": "NiPtSN2",
  "functional": "GGA-PBE",
  "state": "relaxed",
  "cell": [[3.4443, 0.0000, 0.0000], [0.0000, 3.4443, 0.0000], [0.0000, 0.0000, 7.5861]],
  "species": ["Ni", "S", "Pt", "N", "N"],
  "frac_coords": [[0.0000, 0.0000, 0.0000], [0.0000, 0.0000, 0.5000], [0.5000, 0.5000, 0.5000], [0.0000, 0.5000, 0.0000], [0.5000, 0.0000, 0.0000]]
}

---

Referenced to the most stable arrangement, the calculated values in meV per atom are one) 83; two) 0.

---

one) {
  "formula": "RbNiN",
  "functional": "GGA-PBE",
  "state": "relaxed",
  "cell": [[4.1629, 0.8112, 0.9971], [0.0955, 4.2402, 0.9971], [0.0955, 0.1133, 4.3544]],
  "species": ["N", "Rb", "Ni"],
  "frac_coords": [[0.8227, 0.8227, 0.8227], [0.5062, 0.5062, 0.5062], [0.0014, 0.0014, 0.0014]]
}

---

two) {
  "formula": "RbNiN",
  "functional": "GGA-PBE",
  "state": "relaxed",
  "cell": [[3.4821, 0.0000, 0.0000], [0.0000, 6.2595, 0.0000], [0.0000, 0.0000, 11.0071]],
  "species": ["Rb", "Rb", "Rb", "Rb", "Ni", "Ni", "Ni", "Ni", "N", "N", "N", "N"],
  "frac_coords": [[0.2500, 0.0706, 0.6582], [0.2500, 0.4294, 0.1582], [0.7500, 0.9294, 0.3418], [0.7500, 0.5706, 0.8418], [0.2500, 0.5831, 0.5521], [0.2500, 0.9169, 0.0521], [0.7500, 0.4169, 0.4479], [0.7500, 0.0831, 0.9479], [0.2500, 0.1556, 0.9283], [0.2500, 0.3444, 0.4283], [0.7500, 0.8444, 0.0717], [0.7500, 0.6556, 0.5717]]
}

---

three) {
  "formula": "RbNiN",
  "functional": "GGA-PBE",
  "state": "relaxed",
  "cell": [[-0.8624, -1.1855, 3.3824], [3.5041, -1.0100, 0.5394], [2.0359, 9.0308, 3.6844]],
  "species": ["Ni", "Ni", "Rb", "Rb", "N", "N"],
  "frac_coords": [[0.0000, 0.0000, 0.5000], [0.5000, 0.5000, 0.5000], [0.0000, 0.5000, 0.7730], [0.5000, 0.0000, 0.2270], [0.0000, 0.5000, 0.4363], [0.5000, 0.0000, 0.5637]]
}

---

Referenced to the most stable arrangement, the calculated values in meV per atom are one) 917; two) 0; three) 133.

---

one) {
  "formula": "RbNiN2",
  "functional": "GGA-PBE",
  "state": "relaxed",
  "cell": [[1.8236, 0.0000, 6.6626], [-0.9118, 1.5793, 6.6626], [-0.9118, -1.5793, 6.6626]],
  "species": ["Ni", "Rb", "N", "N"],
  "frac_coords": [[0.5000, 0.5000, 0.5000], [0.0000, 0.0000, 0.0000], [0.8724, 0.8724, 0.8724], [0.1276, 0.1276, 0.1276]]
}

---

two) {
  "formula": "RbNiN2",
  "functional": "GGA-PBE",
  "state": "relaxed",
  "cell": [[0.0000, 2.9996, 2.9996], [2.9996, 0.0000, 2.9996], [2.9996, 2.9996, 0.0000]],
  "species": ["Ni", "Rb", "N", "N"],
  "frac_coords": [[0.0000, 0.0000, 0.0000], [0.5000, 0.5000, 0.5000], [0.2500, 0.2500, 0.2500], [0.7500, 0.7500, 0.7500]]
}

---

three) {
  "formula": "RbNiN2",
  "functional": "GGA-PBE",
  "state": "relaxed",
  "cell": [[-3.7139, 4.0142, -1.8637], [-0.7990, -3.0011, -4.8718], [-5.1024, -1.3724, -1.7435]],
  "species": ["Ni", "Ni", "Rb", "Rb", "N", "N", "N", "N"],
  "frac_coords": [[0.5000, 0.5000, 0.0000], [0.2500, 0.7500, 0.5000], [0.0000, 0.0000, 0.0000], [0.7500, 0.2500, 0.5000], [0.4664, 0.1250, 0.2500], [0.2836, 0.6250, 0.2500], [0.3750, 0.5336, 0.7500], [0.8750, 0.7164, 0.7500]]
}

---

Referenced to the most stable arrangement, the calculated values in meV per atom are one) 407; two) 1598; three) 0.

---

one) {
  "formula": "RbNiSeN2",
  "functional": "GGA-PBE",
  "state": "relaxed",
  "cell": [[-0.4780, -3.7289, 3.3360], [4.6550, -1.5602, -1.0769], [2.4018, 3.9111, 4.7158]],
  "species": ["Ni", "Se", "Rb", "N", "N"],
  "frac_coords": [[0.5000, 0.5000, 0.5000], [0.0000, 0.0000, 0.5000], [0.0000, 0.0000, 0.0000], [0.0000, 0.5000, 0.0000], [0.5000, 0.0000, 0.0000]]
}

---

two) {
  "formula": "RbNiSeN2",
  "functional": "GGA-PBE",
  "state": "relaxed",
  "cell": [[-3.0004, 1.4256, -2.3725], [-2.5711, -2.7312, 1.6104], [-1.2386, 3.2363, 3.5110]],
  "species": ["Ni", "Se", "Rb", "N", "N"],
  "frac_coords": [[0.0000, 0.0000, 0.0000], [0.0000, 0.0000, 0.5000], [0.5000, 0.5000, 0.5000], [0.0000, 0.5000, 0.0000], [0.5000, 0.0000, 0.0000]]
}

---

Referenced to the most stable arrangement, the calculated values in meV per atom are one) 1356; two) 0.

---

one) {
  "formula": "RbNiTeN2",
  "functional": "GGA-PBE",
  "state": "relaxed",
  "cell": [[5.0636, 0.0000, 0.0000], [0.0000, 5.0636, 0.0000], [0.0000, 0.0000, 5.7274]],
  "species": ["Ni", "Te", "Rb", "N", "N"],
  "frac_coords": [[0.5000, 0.5000, 0.5000], [0.0000, 0.0000, 0.5000], [0.0000, 0.0000, 0.0000], [0.0000, 0.5000, 0.0000], [0.5000, 0.0000, 0.0000]]
}

---

two) {
  "formula": "RbNiTeN2",
  "functional": "GGA-PBE",
  "state": "relaxed",
  "cell": [[-0.3717, -3.3706, -2.5676], [-1.2689, -2.3706, 3.2957], [-4.8158, 1.2555, -0.9510]],
  "species": ["Ni", "Te", "Rb", "N", "N"],
  "frac_coords": [[0.0000, 0.0000, 0.0000], [0.0000, 0.0000, 0.5000], [0.5000, 0.5000, 0.5000], [0.0000, 0.5000, 0.0000], [0.5000, 0.0000, 0.0000]]
}

---

Referenced to the most stable arrangement, the calculated values in meV per atom are one) 1704; two) 0.

---

one) {
  "formula": "ReNi3N",
  "functional": "GGA-PBE",
  "state": "relaxed",
  "cell": [[4.4602, 0.0000, 0.0000], [0.0000, 4.4602, 0.0000], [0.0000, 0.0000, 4.4602]],
  "species": ["Re", "N", "Ni", "Ni", "Ni"],
  "frac_coords": [[0.0000, 0.0000, 0.0000], [0.5000, 0.5000, 0.5000], [0.0000, 0.5000, 0.0000], [0.0000, 0.0000, 0.5000], [0.5000, 0.0000, 0.0000]]
}

---

two) {
  "formula": "ReNi3N",
  "functional": "GGA-PBE",
  "state": "relaxed",
  "cell": [[-1.4252, -3.2690, -1.2765], [1.2349, -1.7567, 3.1202], [-3.2849, 0.7578, 1.7268]],
  "species": ["Re", "N", "Ni", "Ni", "Ni"],
  "frac_coords": [[0.5000, 0.5000, 0.5000], [0.0000, 0.0000, 0.0000], [0.0000, 0.5000, 0.0000], [0.0000, 0.0000, 0.5000], [0.5000, 0.0000, 0.0000]]
}

---

Referenced to the most stable arrangement, the calculated values in meV per atom are one) 2067; two) 0.

---

one) {
  "formula": "ReNi2N2",
  "functional": "GGA-PBE",
  "state": "relaxed",
  "cell": [[-5.9042, -1.6428, -1.7693], [1.6858, -6.1514, 0.0861], [-0.7065, -0.1586, 2.5048]],
  "species": ["Re", "Re", "N", "N", "N", "N", "Ni", "Ni", "Ni", "Ni"],
  "frac_coords": [[0.0000, 0.0000, 0.0000], [0.5000, 0.5000, 0.0000], [0.2248, 0.7248, 0.5000], [0.7248, 0.7752, 0.5000], [0.7752, 0.2752, 0.5000], [0.2752, 0.2248, 0.5000], [0.3708, 0.8708, 0.0000], [0.8708, 0.6292, 0.0000], [0.6292, 0.1292, 0.0000], [0.1292, 0.3708, 0.0000]]
}

---

two) {
  "formula": "ReNi2N2",
  "functional": "GGA-PBE",
  "state": "relaxed",
  "cell": [[2.7287, 0.0000, 0.0000], [0.0000, 2.7287, 0.0000], [1.3643, 1.3643, 6.7803]],
  "species": ["Re", "N", "N", "Ni", "Ni"],
  "frac_coords": [[0.0000, 0.0000, 0.0000], [0.7500, 0.2500, 0.5000], [0.2500, 0.7500, 0.5000], [0.3665, 0.3665, 0.2670], [0.6335, 0.6335, 0.7330]]
}

---

Referenced to the most stable arrangement, the calculated values in meV per atom are one) 158; two) 0.